Below is crystalline KLa2Ta at its relaxed geometry, with properties calculated at the PBE-GGA level.

The structure in POSCAR format:
```
KLa2Ta
1.0
-3.130 -2.243 -6.152
-0.961 -7.141 -0.868
-1.285 6.405 3.161
K La Ta
1 2 1
direct
0.250 0.750 0.500 K
0.953 0.953 0.000 La
0.547 0.547 0.000 La
0.750 0.250 0.500 Ta
```

Summary:
Distance to the lowest polymorph of the same formula: 392 meV/atom
Formation energy: 0.813 eV/atom
Calculated volume: 138.23 Å³ per cell